(1)
Here is NdHo4Al after structural relaxation from Alexandria. Energies are from GGA-PBE.

The total moment comes out at 0.000 μB/atom. The energy relative to the lowest polymorph listed for this composition is 76 meV per atom. Its formation energy is -0.0414 eV per atom. The density of states at the Fermi level is 14.8 states/eV per cell.

Cell: 6.198 8.952 8.195 Å, 113.91 100.06 111.87°
Positions (direct):
Ho  0.237  0.609  0.774
Ho  0.963  0.835  0.226
Ho  0.236  0.283  0.365
Ho  0.037  0.165  0.774
Ho  0.629  0.082  0.365
Nd  0.653  0.403  0.806
Ho  0.764  0.717  0.635
Nd  0.347  0.597  0.194
Al  0.249  0.999  0.999
Ho  0.371  0.918  0.635
Al  0.751  0.001  0.001
Ho  0.763  0.391  0.226


(2)
Here is YMn2C2 after structural relaxation from Alexandria. Energies are from GGA-PBE.

The total moment comes out at 0.087 μB/atom. Its formation energy is -0.2770 eV per atom. The density of states at the Fermi level is 8.1 states/eV per cell.

Cell: 5.210 5.210 5.438 Å, 109.86 109.86 106.90°
Positions (direct):
C  0.566  0.934  0.750
C  0.184  0.316  0.750
Mn  0.489  0.739  0.978
Y  0.875  0.625  0.750
Y  0.125  0.375  0.250
C  0.816  0.684  0.250
C  0.434  0.066  0.250
Mn  0.239  0.989  0.478
Mn  0.511  0.261  0.022
Mn  0.761  0.011  0.522


(3)
Here is As2AuBr6 after structural relaxation from Alexandria. Energies are from GGA-PBE.

The total moment comes out at 0.000 μB/atom. For the formation energy without anion corrections, the calculation gives -0.18 eV/atom. The density of states at the Fermi level is 4.3 states/eV per cell.

Cell: 8.542 9.425 9.425 Å, 90.23 92.96 92.96°
Positions (direct):
Br  0.938  0.481  0.314
As  0.801  0.826  0.541
As  0.199  0.174  0.459
Br  0.765  0.978  0.332
Br  0.265  0.332  0.978
Br  0.735  0.668  0.022
Br  0.752  0.247  0.031
As  0.699  0.459  0.174
Br  0.562  0.686  0.519
Br  0.062  0.519  0.686
Br  0.248  0.753  0.969
Br  0.748  0.969  0.753
Br  0.252  0.031  0.247
Au  0.250  0.040  0.960
As  0.301  0.541  0.826
Au  0.750  0.960  0.040
Br  0.235  0.022  0.668
Br  0.438  0.314  0.481


- The highest total moment belongs to which entry?
  YMn2C2